The following is a GGA-PBE calculation of a relaxed structure of GdDySiPd, from Alexandria via LeMat-Bulk.

## Properties
total DFT energy (no corrections)	-8.042	eV per atom
N(E_F)	2.81	states/eV/cell
crystal system	cubic
total magnetization	1.797	μB per atom
uncorrected formation energy	-0.717	eV per atom

Cell and atoms, written as POSCAR:
```
GdDySiPd
1.0
4.995 0.000 0.000
2.498 4.326 0.000
2.498 1.442 4.079
Gd Pd Dy Si
1 1 1 1
Cartesian
4.995 2.884 2.039
2.498 1.442 1.020
0.000 0.000 0.000
7.493 4.326 3.059
```